Entry 1:
The following is a DFT calculation (meta-GGA SCAN) of a crystal of Na3GeW relaxed with PBEsol.

Cell lengths 5.6316, 5.6316, 5.6316 Å; angles 90.00, 90.00, 90.00 degrees
Site moments in Bohr magnetons follow the coordinates.
Positions (direct):
Na: 0.0000 0.5000 0.0000  0.04
Na: 0.0000 0.0000 0.5000  0.04
Na: 0.5000 0.0000 0.0000  0.04
Ge: 0.5000 0.5000 0.5000  -0.45
W: 0.0000 0.0000 0.0000  3.45

**Density of states at the Fermi level**: 3.025 states/eV/f.u.
**E_form**: 1.8123 eV/atom
**Energy above the lowest structure with this stoichiometry**: 0.290 eV/atom

=====

Entry 2:
The following is a DFT calculation (meta-GGA SCAN) of a crystal of Na3GeW relaxed with PBEsol.

Cell lengths 5.3733, 5.3733, 5.3733 Å; angles 90.00, 90.00, 90.00 degrees
Site moments in Bohr magnetons follow the coordinates.
Positions (direct):
Na: 0.0000 0.5000 0.0000  -0.01
Na: 0.0000 0.0000 0.5000  -0.01
Na: 0.5000 0.0000 0.0000  -0.01
Ge: 0.0000 0.0000 0.0000  -0.40
W: 0.5000 0.5000 0.5000  3.53

**Density of states at the Fermi level**: 1.981 states/eV/f.u.
**E_form**: 1.5226 eV/atom
**Energy above the lowest structure with this stoichiometry**: 0.000 eV/atom

=====

- What is the E_form in the second record?
  1.5226 eV/atom